Here is a geometry-optimized Ta4RhW3 structure from Alexandria. Energies are from PBE.

Unit cell a=3.239 b=4.579 c=9.098 alpha=90.00 beta=90.00 gamma=90.00
Positions (direct):
Rh 0.500 0.500 0.000
W 0.500 0.000 0.246
W 0.500 0.500 0.500
W 0.500 0.000 0.754
Ta 0.000 0.000 0.500
Ta 0.000 0.500 0.750
Ta 0.000 0.000 0.000
Ta 0.000 0.500 0.250

## Properties
calculated total energy: -11.910 eV/atom
calculated density: 17.0 Mg/m³
DOS(E_F): 3.7 states/eV per cell
spin magnetization: 0.00 μB/f.u.

Here is a geometry-optimized TmGa2Ni structure from Alexandria. Energies are from PBE.

Unit cell a=4.119 b=5.368 c=6.646 alpha=90.00 beta=90.00 gamma=112.69
Positions (direct):
Ni 0.791 0.581 0.250
Ni 0.209 0.419 0.750
Tm 0.074 0.148 0.250
Tm 0.926 0.852 0.750
Ga 0.359 0.718 0.447
Ga 0.641 0.282 0.553
Ga 0.641 0.282 0.947
Ga 0.359 0.718 0.053

## Properties
calculated total energy: -4.735 eV/atom
calculated density: 9.0 Mg/m³
DOS(E_F): 3.0 states/eV per cell
spin magnetization: 0.00 μB/f.u.

Here is a geometry-optimized Th2BeCr2N6 structure from Alexandria. Energies are from PBE.

Unit cell a=5.584 b=5.584 c=5.931 alpha=61.91 beta=61.91 gamma=60.00
Positions (direct):
Th 0.780 0.780 0.660
Th 0.220 0.220 0.340
Be 0.000 0.000 0.000
Cr 0.430 0.430 0.711
Cr 0.570 0.570 0.289
N 0.765 0.765 0.241
N 0.230 0.765 0.241
N 0.765 0.230 0.241
N 0.235 0.770 0.759
N 0.770 0.235 0.759
N 0.235 0.235 0.759

## Properties
calculated total energy: -8.572 eV/atom
calculated density: 8.2 Mg/m³
DOS(E_F): 4.0 states/eV per cell
spin magnetization: 0.00 μB/f.u.

Here is a geometry-optimized NaSiH5 structure from Alexandria. Energies are from PBE.

Unit cell a=4.838 b=4.838 c=6.733 alpha=72.92 beta=72.92 gamma=73.11
Positions (direct):
Na 0.510 0.490 0.250
Na 0.490 0.510 0.750
Si 0.000 0.000 0.000
Si 0.000 0.000 0.500
H 0.883 0.713 0.091
H 0.191 0.669 0.516
H 0.713 0.883 0.591
H 0.977 0.023 0.250
H 0.331 0.809 0.984
H 0.669 0.191 0.016
H 0.023 0.977 0.750
H 0.287 0.117 0.409
H 0.809 0.331 0.484
H 0.117 0.287 0.909

## Properties
calculated total energy: -3.353 eV/atom
calculated density: 1.3 Mg/m³
DOS(E_F): 0.0 states/eV per cell
spin magnetization: 0.00 μB/f.u.